Zr6FeI14 at its PBEsol-relaxed geometry. Source: Alexandria via LeMat-Bulk, functional meta-GGA SCAN.

Cell lengths 10.6680, 10.6680, 12.9217 Å; angles 90.00, 90.00, 83.75 degrees
With the nearest neighbours (Å) after each atom.
Atoms (fractional coordinates):
Zr: 0.0444 0.1795 0.8866  1 Fe 2.50
Zr: 0.1419 0.8581 0.8962  1 Fe 2.43
Zr: 0.1795 0.0444 0.1134  1 Fe 2.50
Zr: 0.3205 0.4556 0.6134  1 Fe 2.50
Zr: 0.3581 0.6419 0.3962  1 Fe 2.43
Zr: 0.4556 0.3205 0.3866  1 Fe 2.50
Zr: 0.5444 0.6795 0.6134  1 Fe 2.50
Zr: 0.6419 0.3581 0.6038  1 Fe 2.43
Zr: 0.6795 0.5444 0.3866  1 Fe 2.50
Zr: 0.8205 0.9556 0.8866  1 Fe 2.50
Zr: 0.8581 0.1419 0.1038  1 Fe 2.43
Zr: 0.9556 0.8205 0.1134  1 Fe 2.50
Fe: 0.0000 0.0000 0.0000  6 Zr 2.43-2.50
Fe: 0.5000 0.5000 0.5000  6 Zr 2.43-2.50
I: 0.0356 0.2156 0.2521  2 Zr 2.86-2.88
I: 0.0969 0.4031 0.7500  2 Zr 3.07
I: 0.1193 0.6287 0.0079  2 Zr 2.87-2.88
I: 0.1287 0.6193 0.5079  2 Zr 2.87-2.88
I: 0.1578 0.8422 0.2652  2 Zr 2.94
I: 0.2156 0.0356 0.7479  2 Zr 2.86-2.88
I: 0.2455 0.2455 0.5000  2 Zr 2.86
I: 0.2545 0.2545 0.0000  2 Zr 2.86
I: 0.2844 0.4644 0.2479  2 Zr 2.86-2.88
I: 0.3422 0.6578 0.7652  2 Zr 2.94
I: 0.3713 0.8807 0.0079  2 Zr 2.87-2.88
I: 0.3807 0.8713 0.5079  2 Zr 2.87-2.88
I: 0.4031 0.0969 0.2500  2 Zr 3.07
I: 0.4644 0.2844 0.7521  2 Zr 2.86-2.88
I: 0.5356 0.7156 0.2479  2 Zr 2.86-2.88
I: 0.5969 0.9031 0.7500  2 Zr 3.07
I: 0.6193 0.1287 0.4921  2 Zr 2.87-2.88
I: 0.6287 0.1193 0.9921  2 Zr 2.87-2.88
I: 0.6578 0.3422 0.2348  2 Zr 2.94
I: 0.7156 0.5356 0.7521  2 Zr 2.86-2.88
I: 0.7455 0.7455 0.0000  2 Zr 2.86
I: 0.7545 0.7545 0.5000  2 Zr 2.86
I: 0.7844 0.9644 0.2521  2 Zr 2.86-2.88
I: 0.8422 0.1578 0.7348  2 Zr 2.94
I: 0.8713 0.3807 0.4921  2 Zr 2.87-2.88
I: 0.8807 0.3713 0.9921  2 Zr 2.87-2.88
I: 0.9031 0.5969 0.2500  2 Zr 3.07
I: 0.9644 0.7844 0.7479  2 Zr 2.86-2.88

For the uncorrected energy, the calculation gives -1475.88 eV/cell. The size of the total moment is 0.0 μB/cell.

In3FeIr at its PBEsol-relaxed geometry. Source: Alexandria via LeMat-Bulk, functional meta-GGA SCAN.

Cell lengths 4.7398, 4.7398, 4.7398 Å; angles 90.00, 90.00, 90.00 degrees
With the nearest neighbours (Å) after each atom.
Atoms (fractional coordinates):
In: 0.0000 0.0000 0.5000  2 Fe 2.37
In: 0.0000 0.5000 0.0000  2 Fe 2.37
In: 0.5000 0.0000 0.0000  2 Fe 2.37
Fe: 0.0000 0.0000 0.0000  6 In 2.37
Ir: 0.5000 0.5000 0.5000  12 In 3.35

The formation energy is 462 kJ/mol of formula units. For the uncorrected energy, the calculation gives -184.60 eV/cell. The size of the total moment is 3.6 μB/cell.

K2InFe at its PBEsol-relaxed geometry. Source: Alexandria via LeMat-Bulk, functional meta-GGA SCAN.

Cell lengths 5.4246, 5.4246, 5.4246 Å; angles 60.00, 60.00, 60.00 degrees
With the nearest neighbours (Å) after each atom.
Atoms (fractional coordinates):
K: 0.0000 0.0000 0.0000  4 Fe 3.32, 4 K 3.32
K: 0.2500 0.2500 0.2500  4 In 3.32, 4 K 3.32
In: 0.5000 0.5000 0.5000  4 Fe 3.32, 4 K 3.32
Fe: 0.7500 0.7500 0.7500  4 In 3.32, 4 K 3.32

The formation energy is 219 kJ/mol of formula units. For the uncorrected energy, the calculation gives -65.90 eV/cell. The size of the total moment is 3.8 μB/cell.

K2InFe at its PBEsol-relaxed geometry. Source: Alexandria via LeMat-Bulk, functional meta-GGA SCAN.

Cell lengths 4.3841, 4.3841, 5.7257 Å; angles 90.00, 90.00, 90.00 degrees
With the nearest neighbours (Å) after each atom.
Atoms (fractional coordinates):
K: 0.0000 0.5000 0.0000  4 K 3.10
K: 0.5000 0.0000 0.0000  4 K 3.10
In: 0.0000 0.0000 0.5000  4 Fe 3.10
Fe: 0.5000 0.5000 0.5000  4 In 3.10

The formation energy is 226 kJ/mol of formula units. For the uncorrected energy, the calculation gives -65.83 eV/cell. The size of the total moment is 3.1 μB/cell.

KIn2Fe at its PBEsol-relaxed geometry. Source: Alexandria via LeMat-Bulk, functional meta-GGA SCAN.

Cell lengths 4.6333, 4.6333, 4.4285 Å; angles 90.00, 90.00, 90.00 degrees
With the nearest neighbours (Å) after each atom.
Atoms (fractional coordinates):
K: 0.0000 0.0000 0.0000  8 In 3.20, 4 Fe 3.28
In: 0.0000 0.5000 0.5000  4 Fe 3.20, 4 K 3.20, 4 In 3.28
In: 0.5000 0.0000 0.5000  4 Fe 3.20, 4 K 3.20, 4 In 3.28
Fe: 0.5000 0.5000 0.0000  8 In 3.20, 4 K 3.28

The formation energy is 208 kJ/mol of formula units. For the uncorrected energy, the calculation gives -91.08 eV/cell. The distance to the lowest polymorph of the same formula comes out at 0.400 eV/atom. The size of the total moment is 2.9 μB/cell.

K3InFe at its PBEsol-relaxed geometry. Source: Alexandria via LeMat-Bulk, functional meta-GGA SCAN.

Cell lengths 6.5647, 6.5647, 6.5647 Å; angles 90.00, 90.00, 90.00 degrees
With the nearest neighbours (Å) after each atom.
Atoms (fractional coordinates):
K: 0.0000 0.0000 0.5000  2 In 3.28
K: 0.0000 0.5000 0.0000  2 In 3.28
K: 0.5000 0.0000 0.0000  2 In 3.28
In: 0.0000 0.0000 0.0000  6 K 3.28
Fe: 0.5000 0.5000 0.5000  12 K 4.64

The formation energy is 435 kJ/mol of formula units. For the uncorrected energy, the calculation gives -71.99 eV/cell. The size of the total moment is 3.6 μB/cell.